Computed, not measured: La5Ti4O15 at its PBEsol-relaxed geometry at the SCAN level of DFT.

Calculated values
The value obtained for the formation energy (no corrections) is -87.08 eV/f.u. The total energy is -19.17 eV/atom.

Unit cell a=5.4956 b=5.4956 c=22.0738 alpha=90.00 beta=90.00 gamma=120.00
Space group P-3c1 (No. 165)
Inequivalent atoms, fractional coordinates:
La 0.0000 0.0000 0.0000
La 0.3333 0.6667 0.2138
La 0.3333 0.6667 0.3911
Ti 0.0000 0.0000 0.1583
Ti 0.3333 0.6667 0.0514
O 0.0000 0.5000 0.0000
O 0.1245 0.3475 0.3029
O 0.1273 0.3265 0.5997

Computed, not measured: La4Ti3O12 at its PBEsol-relaxed geometry at the SCAN level of DFT.

Calculated values
The value obtained for the formation energy (no corrections) is -68.51 eV/f.u. The total energy is -19.15 eV/atom. For the energy above the most stable polymorph in this dataset, the calculation gives 0.077 eV per atom.

Unit cell a=5.494 b=5.630 c=7.855 alpha=91.54 beta=90.77 gamma=90.55
Space group P-1 (No. 2)
Inequivalent atoms, fractional coordinates:
La 0.011 0.426 0.227
La 0.487 0.957 0.232
Ti 0.000 0.000 0.500
Ti 0.500 0.500 0.000
Ti 0.500 0.500 0.500
O 0.092 0.983 0.729
O 0.214 0.676 0.044
O 0.224 0.713 0.451
O 0.283 0.220 0.452
O 0.324 0.212 0.036
O 0.419 0.488 0.744

Computed, not measured: LaYTi2O6 at its PBEsol-relaxed geometry at the SCAN level of DFT.

Calculated values
The value obtained for the formation energy (no corrections) is -35.24 eV/f.u. The total energy is -17.56 eV/atom.

Unit cell a=7.721 b=5.374 c=5.625 alpha=90.00 beta=90.00 gamma=90.00
Space group Pmc2_1 (No. 26)
Inequivalent atoms, fractional coordinates:
La 0.000 0.237 0.000
Y 0.500 0.260 0.125
Ti 0.255 0.250 0.556
O 0.000 0.314 0.565
O 0.216 0.055 0.255
O 0.307 0.448 0.853
O 0.500 0.139 0.514

Computed, not measured: LaY3Ti4O14 at its PBEsol-relaxed geometry at the SCAN level of DFT.

Calculated values
The value obtained for the formation energy (no corrections) is -80.49 eV/f.u. The total energy is -16.29 eV/atom.

Unit cell a=7.1700 b=7.1700 c=17.5396 alpha=90.00 beta=90.00 gamma=120.00
Space group R-3m (No. 166, hexagonal axes)
Inequivalent atoms, fractional coordinates:
La 0.0000 0.0000 0.0000
Y 0.0000 0.5000 0.5000
Ti 0.0000 0.0000 0.5000
Ti 0.0000 0.5000 0.0000
O 0.0000 0.0000 0.1310
O 0.0618 0.5309 0.1096
O 0.0650 0.5325 0.3610

Computed, not measured: La3YTi4O14 at its PBEsol-relaxed geometry at the SCAN level of DFT.

Calculated values
The value obtained for the formation energy (no corrections) is -79.78 eV/f.u. The total energy is -17.65 eV/atom.

Unit cell a=7.2784 b=7.2784 c=17.8233 alpha=90.00 beta=90.00 gamma=120.00
Space group R-3m (No. 166, hexagonal axes)
Inequivalent atoms, fractional coordinates:
La 0.0000 0.5000 0.0000
Y 0.0000 0.0000 0.5000
Ti 0.0000 0.0000 0.0000
Ti 0.0000 0.5000 0.5000
O 0.0000 0.0000 0.3809
O 0.0639 0.5320 0.8573
O 0.0674 0.5337 0.6081

Computed, not measured: LaY3Ti4O12 at its PBEsol-relaxed geometry at the SCAN level of DFT.

Calculated values
The value obtained for the formation energy (no corrections) is -70.97 eV/f.u. The total energy is -16.83 eV/atom.

Unit cell a=5.336 b=7.650 c=5.651 alpha=90.00 beta=90.10 gamma=90.00
Space group Pm (No. 6)
Inequivalent atoms, fractional coordinates:
La 0.000 0.000 0.000
Y 0.464 0.000 0.491
Y 0.506 0.500 0.629
Y 0.967 0.500 0.135
Ti 0.487 0.255 0.061
Ti 0.988 0.253 0.562
O 0.104 0.500 0.520
O 0.188 0.205 0.269
O 0.304 0.199 0.752
O 0.364 0.500 0.012
O 0.568 0.000 0.099
O 0.685 0.310 0.358
O 0.795 0.309 0.862
O 0.872 0.000 0.580

Computed, not measured: La2TlO at its PBEsol-relaxed geometry at the SCAN level of DFT.

Calculated values
The value obtained for the formation energy (no corrections) is -3.22 eV/f.u. The total energy is -42.01 eV/atom.

Unit cell a=7.313 b=7.313 c=7.313 alpha=90.00 beta=90.00 gamma=90.00
Space group Fm-3m (No. 225)
Inequivalent atoms, fractional coordinates:
La 0.250 0.250 0.250
Tl 0.000 0.000 0.000
O 0.000 0.000 0.500

Computed, not measured: LaTlO3 at its PBEsol-relaxed geometry at the SCAN level of DFT.

Calculated values
The value obtained for the formation energy (no corrections) is -8.75 eV/f.u. The total energy is -28.58 eV/atom.

Unit cell a=4.252 b=4.252 c=4.252 alpha=90.00 beta=90.00 gamma=90.00
Space group Pm-3m (No. 221)
Inequivalent atoms, fractional coordinates:
La 0.000 0.000 0.000
Tl 0.500 0.500 0.500
O 0.000 0.500 0.500

Computed, not measured: La2UO6 at its PBEsol-relaxed geometry at the SCAN level of DFT.

Calculated values
The value obtained for the formation energy (no corrections) is -33.25 eV/f.u. The total energy is -28.93 eV/atom.

Unit cell a=3.913 b=5.541 c=11.423 alpha=90.00 beta=90.00 gamma=90.00
Space group Immm (No. 71)
Inequivalent atoms, fractional coordinates:
La 0.000 0.000 0.164
U 0.000 0.000 0.500
O 0.000 0.233 0.350
O 0.000 0.279 0.000

Computed, not measured: La6UO12 at its PBEsol-relaxed geometry at the SCAN level of DFT.

Calculated values
The value obtained for the formation energy (no corrections) is -71.90 eV/f.u. The total energy is -26.78 eV/atom.

Unit cell a=10.3828 b=10.3828 c=9.9018 alpha=90.00 beta=90.00 gamma=120.00
Space group R-3 (No. 148, hexagonal axes)
Inequivalent atoms, fractional coordinates:
La 0.0440 0.2537 0.1465
U 0.0000 0.0000 0.5000
O 0.0359 0.2258 0.9029
O 0.0407 0.1908 0.3936

Computed, not measured: LaVO4 at its PBEsol-relaxed geometry at the SCAN level of DFT.

Calculated values
The value obtained for the formation energy (no corrections) is -19.86 eV/f.u. The total energy is -17.56 eV/atom.

Unit cell a=6.663 b=7.241 c=8.322 alpha=90.00 beta=125.59 gamma=90.00
Space group P2_1/c (No. 14)
Inequivalent atoms, fractional coordinates:
La 0.175 0.156 0.278
V 0.314 0.665 0.199
O 0.109 0.655 0.614
O 0.180 0.003 0.755
O 0.344 0.606 0.017
O 0.387 0.221 0.117

Computed, not measured: La2W3O12 at its PBEsol-relaxed geometry at the SCAN level of DFT.

Calculated values
The value obtained for the formation energy (no corrections) is -48.24 eV/f.u. The total energy is -24.61 eV/atom.

Unit cell a=7.908 b=11.740 c=11.665 alpha=90.00 beta=109.73 gamma=90.00
Space group C2/c (No. 15)
Inequivalent atoms, fractional coordinates:
La 0.181 0.126 0.095
W 0.000 0.117 0.750
W 0.153 0.354 0.545
O 0.013 0.040 0.888
O 0.071 0.301 0.962
O 0.116 0.212 0.429
O 0.135 0.463 0.439
O 0.192 0.205 0.781
O 0.225 0.422 0.692

Computed, not measured: La3WO at its PBEsol-relaxed geometry at the SCAN level of DFT.

Calculated values
The value obtained for the formation energy (no corrections) is -3.74 eV/f.u. The total energy is -41.79 eV/atom. For the energy above the most stable polymorph in this dataset, the calculation gives 0.000 eV per atom.

Unit cell a=4.883 b=4.883 c=4.883 alpha=90.00 beta=90.00 gamma=90.00
Space group Pm-3m (No. 221)
Inequivalent atoms, fractional coordinates:
La 0.000 0.000 0.500
W 0.500 0.500 0.500
O 0.000 0.000 0.000

Computed, not measured: La2ZnO2 at its PBEsol-relaxed geometry at the SCAN level of DFT.

Calculated values
The value obtained for the formation energy (no corrections) is -12.71 eV/f.u. The total energy is -24.98 eV/atom.

Unit cell a=4.097 b=4.097 c=12.613 alpha=90.00 beta=90.00 gamma=90.00
Space group I4/mmm (No. 139)
Inequivalent atoms, fractional coordinates:
La 0.000 0.000 0.157
Zn 0.000 0.000 0.500
O 0.000 0.500 0.250

Computed, not measured: La2Zn2O5 at its PBEsol-relaxed geometry at the SCAN level of DFT.

Calculated values
The value obtained for the formation energy (no corrections) is -24.72 eV/f.u. The total energy is -18.79 eV/atom.

Unit cell a=5.549 b=15.734 c=5.660 alpha=90.00 beta=90.00 gamma=90.00
Space group Pnma (No. 62)
Inequivalent atoms, fractional coordinates:
La 0.036 0.114 0.011
Zn 0.000 0.000 0.500
Zn 0.047 0.250 0.551
O 0.037 0.641 0.585
O 0.100 0.750 0.123
O 0.208 0.519 0.207

Computed, not measured: La3ZrO at its PBEsol-relaxed geometry at the SCAN level of DFT.

Calculated values
The value obtained for the formation energy (no corrections) is -5.86 eV/f.u. The total energy is -34.42 eV/atom.

Unit cell a=5.002 b=5.002 c=5.002 alpha=90.00 beta=90.00 gamma=90.00
Space group Pm-3m (No. 221)
Inequivalent atoms, fractional coordinates:
La 0.000 0.000 0.500
Zr 0.500 0.500 0.500
O 0.000 0.000 0.000